VASP calculation (PBE) on a relaxed structure of CdOsRhN2. Values from VASP.

Summary:
SG: No. 123
electronic total energy: -4.2537 eV per atom
energy relative to the elements, uncorrected: 2.976 eV/atom
theoretical density: 8.67 Mg/m³

Geometry as Quantum ESPRESSO input:
```
&SYSTEM
  ibrav = 0, nat = 5, ntyp = 4
/
ATOMIC_SPECIES
Rh 102.91 Rh.upf
N 14.01 N.upf
Os 190.23 Os.upf
Cd 112.41 Cd.upf
CELL_PARAMETERS angstrom
-1.086 3.568 1.299
-5.115 -1.318 -0.656
-0.118 -1.382 3.698
ATOMIC_POSITIONS crystal
Rh 0.500 0.500 0.500
N 0.000 0.000 0.500
N 0.500 0.000 0.000
Os 0.000 0.500 0.000
Cd 0.000 0.000 0.000
```


VASP calculation (PBE) on a relaxed structure of Ba2SrBe. Values from VASP.

Summary:
SG: No. 123
formation energy: 0.289 eV per atom
electronic total energy: -2.0246 eV per atom
theoretical density: 3.49 Mg/m³

Geometry as Quantum ESPRESSO input:
```
&SYSTEM
  ibrav = 0, nat = 4, ntyp = 3
/
ATOMIC_SPECIES
Sr 87.62 Sr.upf
Ba 137.33 Ba.upf
Be 9.01 Be.upf
CELL_PARAMETERS angstrom
-1.476 1.148 -3.636
1.570 -3.369 -1.703
-8.982 -5.199 2.004
ATOMIC_POSITIONS crystal
Sr 0.500 0.500 0.750
Ba 0.000 0.000 0.075
Ba 0.000 0.000 0.425
Be 0.500 0.500 0.250
```